Entry 1:
# ScCdNi4

A PBEsol-optimized structure of ScCdNi4 (SCAN, Alexandria).

The space-group type is F-43m. For the total energy, the calculation gives -0.683 hartree per atom. The calculation puts the density at 8.36 g/cm3. For the total magnetic moment, the calculation gives 0.0 μB per formula unit.

Lattice parameters (Å, degrees): 4.7937 4.7937 4.7937 60.00 60.00 60.00
Sites, in units of the cell vectors:
1 Ni 0.3746 0.3746 0.8762
2 Ni 0.8762 0.3746 0.3746
3 Ni 0.3746 0.3746 0.3746
4 Sc 0.7500 0.7500 0.7500
5 Cd 0.0000 0.0000 0.0000
6 Ni 0.3746 0.8762 0.3746

=====

Entry 2:
# ScCd2Ni

A PBEsol-optimized structure of ScCd2Ni (SCAN, Alexandria).

The space-group type is P4mm. For the total energy, the calculation gives -0.847 hartree per atom. The calculation puts the density at 7.65 g/cm3. For the total magnetic moment, the calculation gives 0.0 μB per formula unit.

Lattice parameters (Å, degrees): 3.1659 3.1659 7.1127 90.00 90.00 90.00
Sites, in units of the cell vectors:
1 Cd 0.5000 0.5000 0.2857
2 Cd 0.0000 0.0000 0.0003
3 Ni 0.0000 0.0000 0.5116
4 Sc 0.5000 0.5000 0.7024

=====

Entry 3:
# ScCd2Ni

A PBEsol-optimized structure of ScCd2Ni (SCAN, Alexandria).

The space-group type is Amm2. For the total energy, the calculation gives -0.847 hartree per atom. The calculation puts the density at 7.37 g/cm3. For the total magnetic moment, the calculation gives 0.0 μB per formula unit.

Lattice parameters (Å, degrees): 3.3000 3.5579 6.5179 90.00 104.66 90.00
Sites, in units of the cell vectors:
1 Sc 0.7137 0.5000 0.4274
2 Cd 0.0663 0.0000 0.1326
3 Ni 0.2806 0.0000 0.5612
4 Cd 0.4322 0.5000 0.8643

=====

Entry 4:
# ScCdNi2

A PBEsol-optimized structure of ScCdNi2 (SCAN, Alexandria).

The space-group type is Imm2. For the total energy, the calculation gives -0.716 hartree per atom. The calculation puts the density at 7.83 g/cm3. For the total magnetic moment, the calculation gives 0.0 μB per formula unit.

Lattice parameters (Å, degrees): 3.7528 3.6689 4.9784 111.62 112.14 90.00
Sites, in units of the cell vectors:
1 Ni 0.7520 0.2520 0.5040
2 Cd 0.2486 0.7486 0.4971
3 Sc 0.5009 0.5009 0.0019
4 Ni 0.9985 0.9985 0.9970

=====

In meV per atom, the energy of formation values for the records above are, in order, -358; -248; -233; -232.